The following is a DFT calculation (GGA-PBE) of a geometry-optimized SrLa3Ir structure.

Summary:
The calculation puts the calculated density at 6.0 g/cm3. Its total energy is -5.38 eV/atom. For the density of states at the Fermi level, the calculation gives 1.49 states/eV per atom. For the formation energy, the calculation gives -1.55 eV per formula unit.

Cell: 4.2048 6.8409 13.4925 Å, 80.39 90.00 90.00°
Last column: nearest neighbours and their distance in Å.
Fractional coordinates of all 10 atoms:
1 Sr 0.0009 0.4116 0.3690  1 Ir 3.06
2 Sr 0.9991 0.5884 0.6310  1 Ir 3.06
3 La 0.0002 0.1134 0.1237  2 Ir 2.87
4 La 0.9998 0.8866 0.8763  2 Ir 2.87
5 La 0.4982 0.3876 0.8845  1 Ir 2.84
6 La 0.4998 0.0886 0.6224  2 Ir 2.80
7 La 0.5002 0.9114 0.3776  2 Ir 2.80
8 La 0.5018 0.6124 0.1155  1 Ir 2.84
9 Ir 0.0000 0.0000 0.5000  4 La 2.80, 2 Sr 3.06
10 Ir 0.5000 0.0000 0.0000  6 La 2.84-2.87